*1*
3
Lattice="-0.781 2.110 1.539 -2.227 -1.377 0.757 3.607 -1.972 2.121" Properties=species:S:1:pos:R:3 comment="MnBeRu (meta-GGA SCAN, PBEsol geometry)" dos_at_fermi_per_ev_atom=0.5173 pbc="T T T"
Mn 1.438 -1.097 2.235
Be 0.571 -1.218 4.374
Ru -0.812 -0.162 2.223

*2*
3
Lattice="3.781 0.000 0.000 1.890 3.274 0.000 1.890 1.091 3.087" Properties=species:S:1:pos:R:3 comment="MnBeRu (meta-GGA SCAN, PBEsol geometry)" dos_at_fermi_per_ev_atom=0.9457 pbc="T T T"
Ru 1.890 1.091 0.772
Mn 3.781 2.183 1.543
Be 0.000 0.000 0.000

Which structure loses on stability? *2* does.

*1*
4
Lattice="-0.407 -0.296 -2.935 -0.865 -2.821 0.404 -5.258 1.692 0.558" Properties=species:S:1:pos:R:3 comment="Mn2BeSb (meta-GGA SCAN, PBEsol geometry)" dos_at_fermi_per_ev_atom=0.6208 pbc="T T T"
Sb -2.607 0.839 0.277
Mn -1.821 -1.177 -1.140
Mn -5.061 1.628 0.537
Be -4.927 -0.178 -0.810

*2*
4
Lattice="4.149 0.000 0.000 2.074 3.593 0.000 2.074 1.198 3.388" Properties=species:S:1:pos:R:3 comment="Mn2BeSb (meta-GGA SCAN, PBEsol geometry)" dos_at_fermi_per_ev_atom=0.2532 pbc="T T T"
Be 4.149 2.395 1.694
Mn 0.000 0.000 0.000
Mn 6.223 3.593 2.541
Sb 2.074 1.198 0.847

Which structure loses on stability? *1* does.

*1*
4
Lattice="2.752 0.000 0.000 0.000 2.752 0.000 0.000 0.000 6.485" Properties=species:S:1:pos:R:3 comment="ScMnBe2 (meta-GGA SCAN, PBEsol geometry)" dos_at_fermi_per_ev_atom=0.5666 pbc="T T T"
Be 0.000 0.000 0.440
Be 1.376 1.376 1.536
Mn 0.000 0.000 2.905
Sc 1.376 1.376 4.848

*2*
4
Lattice="4.111 0.000 0.000 2.055 3.560 0.000 2.055 1.187 3.356" Properties=species:S:1:pos:R:3 comment="ScMnBe2 (meta-GGA SCAN, PBEsol geometry)" dos_at_fermi_per_ev_atom=0.5204 pbc="T T T"
Mn 0.000 0.000 0.000
Sc 4.111 2.373 1.678
Be 2.055 1.187 0.839
Be 6.166 3.560 2.517

*3*
4
Lattice="-3.701 -1.237 1.420 -0.360 -1.445 3.876 -1.977 2.247 2.879" Properties=species:S:1:pos:R:3 comment="ScMnBe2 (meta-GGA SCAN, PBEsol geometry)" dos_at_fermi_per_ev_atom=0.7673 pbc="T T T"
Be 0.000 0.000 0.000
Be -4.528 -0.327 6.131
Mn -3.019 -0.218 4.087
Sc -1.509 -0.109 2.044

Which structure loses on stability? *3* does.

*1*
5
Lattice="3.710 0.000 0.000 0.000 3.710 0.000 -1.855 -1.855 5.184" Properties=species:S:1:pos:R:3 comment="Ta2MnBe2 (meta-GGA SCAN, PBEsol geometry)" dos_at_fermi_per_ev_atom=0.7437 pbc="T T T"
Be 1.855 1.855 0.953
Be 0.000 0.000 4.231
Ta 0.000 1.855 2.592
Ta 1.855 0.000 2.592
Mn 0.000 0.000 0.000

*2*
10
Lattice="-0.948 -2.389 1.996 4.868 1.032 3.545 -3.235 4.019 3.273" Properties=species:S:1:pos:R:3 comment="Ta2MnBe2 (meta-GGA SCAN, PBEsol geometry)" dos_at_fermi_per_ev_atom=0.4217 pbc="T T T"
Ta 0.510 -0.144 2.722
Ta -1.799 1.719 3.855
Ta 2.484 0.943 4.960
Ta 0.175 2.806 6.092
Be 2.630 1.121 2.589
Be -0.997 3.930 4.228
Be -0.647 1.652 1.669
Be 2.280 3.399 5.149
Mn 0.000 0.000 0.000
Mn 0.816 2.525 3.409

Which structure loses on stability? *1* does.

*1*
3
Lattice="3.767 0.000 0.000 1.884 3.263 0.000 1.884 1.088 3.076" Properties=species:S:1:pos:R:3 comment="MnBeTc (meta-GGA SCAN, PBEsol geometry)" dos_at_fermi_per_ev_atom=0.8218 pbc="T T T"
Be 3.767 2.175 1.538
Tc 0.000 0.000 0.000
Mn 1.884 1.088 0.769

*2*
3
Lattice="2.829 0.000 0.000 0.000 2.829 0.000 -1.415 -1.415 4.035" Properties=species:S:1:pos:R:3 comment="MnBeTc (meta-GGA SCAN, PBEsol geometry)" dos_at_fermi_per_ev_atom=0.4553 pbc="T T T"
Be 0.000 0.000 0.067
Tc 0.000 0.000 2.658
Mn 1.415 1.415 1.311

Which structure loses on stability? *1* does.

*1*
4
Lattice="3.794 0.000 0.000 0.000 3.794 0.000 -1.897 -1.897 3.796" Properties=species:S:1:pos:R:3 comment="Mn2BeTl (meta-GGA SCAN, PBEsol geometry)" dos_at_fermi_per_ev_atom=0.6247 pbc="T T T"
Mn 0.000 1.897 1.898
Mn 1.897 0.000 1.898
Be 1.897 1.897 0.000
Tl 0.000 0.000 0.000

*2*
4
Lattice="-0.182 3.615 1.115 -3.022 -0.811 2.135 2.297 -0.794 2.950" Properties=species:S:1:pos:R:3 comment="Mn2BeTl (meta-GGA SCAN, PBEsol geometry)" dos_at_fermi_per_ev_atom=0.6278 pbc="T T T"
Tl -0.454 1.005 3.100
Mn -0.091 1.808 0.558
Mn -1.511 -0.406 1.067
Be 1.148 -0.397 1.475

Which structure loses on stability? *2* does.